--- A ---
## Ce2ScCd (GGA-PBE)

Data for Ce2ScCd after structural relaxation.

The structure in POSCAR format:
```
Ce2ScCd
1.0
3.208 0.000 0.000
0.000 3.208 0.000
0.000 0.000 10.174
Cd Ce Sc
1 2 1
direct
0.500 0.500 0.500
0.000 0.000 0.746
0.000 0.000 0.254
0.500 0.500 0.000
```

Output
- total magnetic moment (Bohr magnetons per cell) = 1.76


--- B ---
## Ce2ScCd (GGA-PBE)

Data for Ce2ScCd after structural relaxation.

The structure in POSCAR format:
```
Ce2ScCd
1.0
-2.725 3.020 3.535
-5.027 1.585 -1.121
-4.156 -2.109 2.705
Ce Cd Sc
2 1 1
direct
0.250 0.250 0.250
0.750 0.750 0.750
0.500 0.500 0.500
0.000 0.000 0.000
```

Output
- total magnetic moment (Bohr magnetons per cell) = 2.53


--- C ---
## Ce2ScCd (GGA-PBE)

Data for Ce2ScCd after structural relaxation.

The structure in POSCAR format:
```
Ce2ScCd
1.0
-0.106 -2.985 1.077
-0.759 -2.372 -1.969
11.532 -3.223 -3.120
Cd Sc Ce
1 1 2
direct
0.000 0.000 0.000
0.500 0.500 0.500
0.090 0.090 0.730
0.910 0.910 0.270
```

Output
- total magnetic moment (Bohr magnetons per cell) = 1.12


How far above the most stable structure does each one sit? In eV/atom: A 0.000; B 0.082; C 0.194.


--- A ---
## CeScCd (GGA-PBE)

Data for CeScCd after structural relaxation.

The structure in POSCAR format:
```
CeScCd
1.0
5.922 0.000 0.000
0.000 5.885 0.517
0.000 -0.908 8.243
Cd Ce Sc
4 4 4
direct
0.896 0.112 0.647
0.604 0.612 0.647
0.104 0.888 0.353
0.396 0.388 0.353
0.736 0.371 0.984
0.764 0.871 0.984
0.264 0.629 0.016
0.236 0.129 0.016
0.605 0.883 0.339
0.105 0.617 0.661
0.895 0.383 0.339
0.395 0.117 0.661
```

Output
- total magnetic moment (Bohr magnetons per cell) = 0.03


--- B ---
## CeScCd (GGA-PBE)

Data for CeScCd after structural relaxation.

The structure in POSCAR format:
```
CeScCd
1.0
3.299 0.000 0.000
0.000 3.299 0.000
-1.649 -1.649 6.947
Cd Sc Ce
1 1 1
direct
0.677 0.677 0.355
0.322 0.322 0.644
0.001 0.001 0.001
```

Output
- total magnetic moment (Bohr magnetons per cell) = 0.91


--- C ---
## CeScCd (GGA-PBE)

Data for CeScCd after structural relaxation.

The structure in POSCAR format:
```
CeScCd
1.0
-0.940 1.702 2.256
-4.402 1.068 -2.640
0.194 -4.144 3.207
Cd Sc Ce
1 1 1
direct
0.667 0.667 0.333
0.166 0.333 0.667
0.167 0.000 0.000
```

Output
- total magnetic moment (Bohr magnetons per cell) = 1.05


How far above the most stable structure does each one sit? In eV/atom: A 0.075; B 0.000; C 0.123.


--- A ---
## CeSmCd4 (GGA-PBE)

Data for CeSmCd4 after structural relaxation.

The structure in POSCAR format:
```
CeSmCd4
1.0
5.104 -0.002 0.001
0.001 6.273 2.274
-0.001 0.129 9.432
Ce Sm Cd
2 2 8
direct
0.750 0.625 0.251
0.250 0.375 0.749
0.750 0.126 0.249
0.250 0.874 0.751
0.250 0.294 0.417
0.750 0.540 0.917
0.250 0.460 0.083
0.750 0.706 0.583
0.750 0.210 0.583
0.750 0.043 0.917
0.250 0.790 0.417
0.250 0.957 0.083
```

Output
- total magnetic moment (Bohr magnetons per cell) = 2.46


--- B ---
## CeSmCd4 (GGA-PBE)

Data for CeSmCd4 after structural relaxation.

The structure in POSCAR format:
```
CeSmCd4
1.0
-2.671 -1.363 1.537
5.670 -0.180 2.305
-1.465 7.603 4.198
Cd Ce Sm
4 1 1
direct
0.001 0.497 0.333
0.002 0.497 0.664
0.501 0.997 0.166
0.501 0.997 0.830
0.501 0.497 0.998
0.001 0.997 0.498
```

Output
- total magnetic moment (Bohr magnetons per cell) = 1.23


How far above the most stable structure does each one sit? In eV/atom: A 0.119; B 0.000.


--- A ---
## CeSm2Cd (GGA-PBE)

Data for CeSm2Cd after structural relaxation.

The structure in POSCAR format:
```
CeSm2Cd
1.0
3.603 0.000 0.000
0.000 3.603 0.000
0.000 0.000 8.998
Sm Ce Cd
2 1 1
direct
0.000 0.000 0.764
0.000 0.000 0.236
0.500 0.500 0.500
0.500 0.500 0.000
```

Output
- total magnetic moment (Bohr magnetons per cell) = 0.30


--- B ---
## CeSm2Cd (GGA-PBE)

Data for CeSm2Cd after structural relaxation.

The structure in POSCAR format:
```
CeSm2Cd
1.0
-0.832 -1.454 4.479
-2.053 -4.160 -1.731
4.423 -2.224 0.099
Sm Cd Ce
2 1 1
direct
0.000 0.500 0.000
0.000 0.000 0.500
0.500 0.000 0.000
0.500 0.500 0.500
```

Output
- total magnetic moment (Bohr magnetons per cell) = 1.34


--- C ---
## CeSm2Cd (GGA-PBE)

Data for CeSm2Cd after structural relaxation.

The structure in POSCAR format:
```
CeSm2Cd
1.0
-3.152 1.625 0.273
-2.947 -1.634 -1.139
-3.453 -4.446 9.758
Ce Cd Sm
1 1 2
direct
0.500 0.500 0.501
0.667 0.667 0.000
0.255 0.255 0.235
0.079 0.079 0.764
```

Output
- total magnetic moment (Bohr magnetons per cell) = 1.00


--- D ---
## CeSm2Cd (GGA-PBE)

Data for CeSm2Cd after structural relaxation.

The structure in POSCAR format:
```
CeSm2Cd
1.0
-0.960 -2.166 -2.376
0.417 -3.297 0.467
-11.097 -2.490 4.385
Cd Ce Sm
1 1 2
direct
0.500 0.500 0.500
0.000 0.000 0.000
0.091 0.091 0.727
0.909 0.909 0.273
```

Output
- total magnetic moment (Bohr magnetons per cell) = 0.51


How far above the most stable structure does each one sit? In eV/atom: A 0.000; B 0.069; C 0.112; D 0.255.


--- A ---
## CeSmZnCd (GGA-PBE)

Data for CeSmZnCd after structural relaxation.

The structure in POSCAR format:
```
CeSmZnCd
1.0
-1.606 0.444 -3.251
3.191 -0.628 -1.662
-1.614 -7.576 -0.237
Ce Zn Cd Sm
1 1 1 1
direct
0.500 0.500 0.128
0.000 0.000 0.362
0.000 0.000 0.852
0.500 0.500 0.587
```

Output
- total magnetic moment (Bohr magnetons per cell) = 0.97


--- B ---
## CeSmZnCd (GGA-PBE)

Data for CeSmZnCd after structural relaxation.

The structure in POSCAR format:
```
CeSmZnCd
1.0
5.293 0.000 0.000
2.646 4.584 0.000
2.646 1.528 4.321
Ce Cd Zn Sm
1 1 1 1
direct
0.500 0.500 0.500
0.750 0.750 0.750
0.250 0.250 0.250
0.000 0.000 0.000
```

Output
- total magnetic moment (Bohr magnetons per cell) = 1.83


How far above the most stable structure does each one sit? In eV/atom: A 0.000; B 0.031.


--- A ---
## CeCd2Sn (GGA-PBE)

Data for CeCd2Sn after structural relaxation.

The structure in POSCAR format:
```
CeCd2Sn
1.0
3.187 0.000 0.000
1.593 2.760 0.000
1.593 0.920 12.108
Ce Cd Sn
1 2 1
direct
0.000 0.000 0.000
0.089 0.089 0.733
0.911 0.911 0.267
0.500 0.500 0.500
```

Output
- total magnetic moment (Bohr magnetons per cell) = 0.82


--- B ---
## CeCd2Sn (GGA-PBE)

Data for CeCd2Sn after structural relaxation.

The structure in POSCAR format:
```
CeCd2Sn
1.0
5.243 0.000 0.000
2.621 4.540 0.000
2.621 1.513 4.281
Ce Sn Cd
1 1 2
direct
0.000 0.000 0.000
0.500 0.500 0.500
0.250 0.250 0.250
0.750 0.750 0.750
```

Output
- total magnetic moment (Bohr magnetons per cell) = 0.86


How far above the most stable structure does each one sit? In eV/atom: A 0.384; B 0.000.


--- A ---
## Ce2Cd3Sn (GGA-PBE)

Data for Ce2Cd3Sn after structural relaxation.

The structure in POSCAR format:
```
Ce2Cd3Sn
1.0
-1.357 6.006 -0.185
-1.349 -2.632 -5.404
-6.719 -3.423 5.655
Ce Cd Sn
4 6 2
direct
0.246 0.246 0.000
0.250 0.750 0.500
0.754 0.754 0.000
0.750 0.250 0.500
0.835 0.835 0.670
0.165 0.165 0.330
0.166 0.669 0.835
0.331 0.834 0.165
0.834 0.331 0.165
0.669 0.166 0.835
0.334 0.334 0.668
0.666 0.666 0.332
```

Output
- total magnetic moment (Bohr magnetons per cell) = 5.60


--- B ---
## Ce2Cd3Sn (GGA-PBE)

Data for Ce2Cd3Sn after structural relaxation.

The structure in POSCAR format:
```
Ce2Cd3Sn
1.0
3.471 0.000 0.000
0.000 5.082 0.000
0.000 0.000 8.777
Cd Sn Ce
3 1 2
direct
0.500 0.000 0.159
0.500 0.000 0.830
0.500 0.500 0.674
0.500 0.500 0.337
0.000 0.500 0.005
0.000 0.000 0.496
```

Output
- total magnetic moment (Bohr magnetons per cell) = 2.38


How far above the most stable structure does each one sit? In eV/atom: A 0.000; B 0.017.


--- A ---
## CeTlCdSn (GGA-PBE)

Data for CeTlCdSn after structural relaxation.

The structure in POSCAR format:
```
CeTlCdSn
1.0
4.701 0.000 0.000
0.000 4.547 0.000
0.000 0.000 4.950
Tl Cd Ce Sn
1 1 1 1
direct
0.000 0.500 0.500
0.500 0.000 0.500
0.000 0.000 0.000
0.500 0.500 0.000
```

Output
- total magnetic moment (Bohr magnetons per cell) = 0.87


--- B ---
## CeTlCdSn (GGA-PBE)

Data for CeTlCdSn after structural relaxation.

The structure in POSCAR format:
```
CeTlCdSn
1.0
5.329 0.000 0.000
2.664 4.615 0.000
2.664 1.538 4.351
Cd Tl Sn Ce
1 1 1 1
direct
0.750 0.750 0.750
0.500 0.500 0.500
0.000 0.000 0.000
0.250 0.250 0.250
```

Output
- total magnetic moment (Bohr magnetons per cell) = 0.77


How far above the most stable structure does each one sit? In eV/atom: A 0.000; B 0.153.


--- A ---
## Tb2CeCd (GGA-PBE)

Data for Tb2CeCd after structural relaxation.

The structure in POSCAR format:
```
Tb2CeCd
1.0
-2.872 1.781 4.210
-5.232 -1.263 0.427
-1.640 -3.459 3.807
Cd Tb Ce
1 2 1
direct
0.500 0.500 0.500
0.250 0.250 0.250
0.750 0.750 0.750
0.000 0.000 0.000
```

Output
- total magnetic moment (Bohr magnetons per cell) = 0.01


--- B ---
## Tb2CeCd (GGA-PBE)

Data for Tb2CeCd after structural relaxation.

The structure in POSCAR format:
```
Tb2CeCd
1.0
4.755 0.000 0.000
0.000 4.900 0.000
0.000 0.000 4.900
Tb Cd Ce
2 1 1
direct
0.000 0.500 0.000
0.000 0.000 0.500
0.500 0.000 0.000
0.500 0.500 0.500
```

Output
- total magnetic moment (Bohr magnetons per cell) = 1.49


--- C ---
## Tb2CeCd (GGA-PBE)

Data for Tb2CeCd after structural relaxation.

The structure in POSCAR format:
```
Tb2CeCd
1.0
-0.013 2.217 -2.747
-0.854 -1.179 -3.215
-10.786 2.678 -0.054
Ce Cd Tb
1 1 2
direct
0.500 0.500 0.500
0.667 0.667 0.000
0.256 0.256 0.233
0.078 0.078 0.766
```

Output
- total magnetic moment (Bohr magnetons per cell) = 1.18


--- D ---
## Tb2CeCd (GGA-PBE)

Data for Tb2CeCd after structural relaxation.

The structure in POSCAR format:
```
Tb2CeCd
1.0
-2.846 -0.208 1.913
-0.078 -2.065 2.745
2.981 8.213 8.413
Tb Cd Ce
2 1 1
direct
0.911 0.911 0.268
0.089 0.089 0.732
0.000 0.000 0.000
0.500 0.500 0.500
```

Output
- total magnetic moment (Bohr magnetons per cell) = 0.35


How far above the most stable structure does each one sit? In eV/atom: A 0.101; B 0.000; C 0.030; D 0.224.


--- A ---
## TbCe2Cd (GGA-PBE)

Data for TbCe2Cd after structural relaxation.

The structure in POSCAR format:
```
TbCe2Cd
1.0
3.310 0.000 0.000
0.000 3.310 0.000
0.000 0.000 10.280
Ce Cd Tb
2 1 1
direct
0.000 0.000 0.236
0.000 0.000 0.764
0.500 0.500 0.000
0.500 0.500 0.500
```

Output
- total magnetic moment (Bohr magnetons per cell) = 1.67


--- B ---
## TbCe2Cd (GGA-PBE)

Data for TbCe2Cd after structural relaxation.

The structure in POSCAR format:
```
TbCe2Cd
1.0
-0.177 -2.101 5.056
1.478 -5.205 0.857
4.653 -1.123 2.664
Cd Ce Tb
1 2 1
direct
0.500 0.500 0.500
0.750 0.750 0.750
0.250 0.250 0.250
0.000 0.000 0.000
```

Output
- total magnetic moment (Bohr magnetons per cell) = 2.78


How far above the most stable structure does each one sit? In eV/atom: A 0.000; B 0.088.


--- A ---
## TbCe2Cd (GGA-PBE)

Data for TbCe2Cd after structural relaxation.

The structure in POSCAR format:
```
TbCe2Cd
1.0
-1.196 1.278 -2.802
-1.851 -1.860 -2.006
-11.274 3.484 4.452
Ce Cd Tb
2 1 1
direct
0.088 0.088 0.735
0.912 0.912 0.265
0.000 0.000 0.000
0.500 0.500 0.500
```

Output
- total magnetic moment (Bohr magnetons per cell) = 1.66


--- B ---
## TbCe2Cd (GGA-PBE)

Data for TbCe2Cd after structural relaxation.

The structure in POSCAR format:
```
TbCe2Cd
1.0
-2.734 -3.766 2.295
2.946 -3.139 -1.642
2.580 0.438 3.792
Tb Ce Cd
1 2 1
direct
0.500 0.500 0.500
0.000 0.000 0.500
0.000 0.500 0.000
0.500 0.000 0.000
```

Output
- total magnetic moment (Bohr magnetons per cell) = 1.60


How far above the most stable structure does each one sit? In eV/atom: A 0.252; B 0.000.